(1)
# LaPrNd3

A geometry-optimized LaPrNd3 structure (PBE-GGA, Alexandria via LeMat-Bulk).

Cell: 6.9712 6.9712 8.9244 Å, 106.58 106.58 62.56°
Positions (direct):
La 0.0560 0.0560 0.2241
La 0.9440 0.9440 0.7759
Pr 0.4431 0.4431 0.7725
Pr 0.5569 0.5569 0.2275
Nd 0.0962 0.5958 0.3840
Nd 0.2508 0.2508 0.9998
Nd 0.4042 0.9038 0.6160
Nd 0.5958 0.0962 0.3840
Nd 0.7492 0.7492 0.0002
Nd 0.9038 0.4042 0.6160

Values from the calculation:
total magnetization: 0.000 Bohr magnetons per cell
space group: C2/m, No. 12
energy of formation from the pure elements: 108 meV per atom

***

(2)
# La8Pr5Nd

A geometry-optimized La8Pr5Nd structure (PBE-GGA, Alexandria via LeMat-Bulk).

Cell: 8.7746 8.7746 8.7746 Å, 111.22 111.22 106.02°
Positions (direct):
La 0.0724 0.3281 0.6015
La 0.1818 0.4448 0.1131
La 0.3316 0.0687 0.8869
La 0.5291 0.9276 0.2556
La 0.5552 0.6684 0.7371
La 0.6719 0.2734 0.7444
La 0.7266 0.4709 0.3985
La 0.9313 0.8182 0.2629
Pr 0.0315 0.7205 0.8973
Pr 0.2795 0.1768 0.3110
Pr 0.5000 0.5000 0.0000
Pr 0.8232 0.1343 0.1027
Pr 0.8657 0.9685 0.6890
Nd 0.2500 0.7500 0.5000

Values from the calculation:
total magnetization: 0.000 Bohr magnetons per cell
space group: I-4, No. 82
energy of formation from the pure elements: 197 meV per atom

***

(3)
# La7Pr2Nd3

A geometry-optimized La7Pr2Nd3 structure (PBE-GGA, Alexandria via LeMat-Bulk).

Cell: 6.0062 3.6752 20.0916 Å, 90.00 98.45 90.00°
Positions (direct):
La 0.0000 0.0000 0.0000
La 0.0932 0.5000 0.1849
La 0.2676 0.5000 0.5357
La 0.4266 0.0000 0.8550
La 0.5734 0.0000 0.1450
La 0.7324 0.5000 0.4643
La 0.9068 0.5000 0.8151
Pr 0.3507 0.5000 0.7029
Pr 0.6493 0.5000 0.2971
Nd 0.1841 0.0000 0.3674
Nd 0.5000 0.5000 0.0000
Nd 0.8159 0.0000 0.6326

Values from the calculation:
total magnetization: 0.002 Bohr magnetons per cell
space group: P2/m, No. 10
energy of formation from the pure elements: 82 meV per atom

***

(4)
# La3Pr12Nd

A geometry-optimized La3Pr12Nd structure (PBE-GGA, Alexandria via LeMat-Bulk).

Cell: 5.2606 5.2606 20.9973 Å, 90.00 90.00 90.00°
Positions (direct):
La 0.0000 0.0000 0.0000
La 0.0000 0.0000 0.2503
La 0.0000 0.0000 0.7497
Pr 0.0000 0.5000 0.1252
Pr 0.0000 0.5000 0.3758
Pr 0.0000 0.5000 0.6242
Pr 0.0000 0.5000 0.8748
Pr 0.5000 0.0000 0.1252
Pr 0.5000 0.0000 0.3758
Pr 0.5000 0.0000 0.6242
Pr 0.5000 0.0000 0.8748
Pr 0.5000 0.5000 0.0000
Pr 0.5000 0.5000 0.2508
Pr 0.5000 0.5000 0.5000
Pr 0.5000 0.5000 0.7492
Nd 0.0000 0.0000 0.5000

Values from the calculation:
total magnetization: 0.000 Bohr magnetons per cell
space group: P4/mmm, No. 123
energy of formation from the pure elements: 9 meV per atom

***

(5)
# La9Pr2Nd

A geometry-optimized La9Pr2Nd structure (PBE-GGA, Alexandria via LeMat-Bulk).

Cell: 5.2505 5.2505 15.7557 Å, 90.00 90.00 90.00°
Positions (direct):
La 0.0000 0.0000 0.0000
La 0.0000 0.0000 0.3333
La 0.0000 0.0000 0.6667
La 0.0000 0.5000 0.1663
La 0.0000 0.5000 0.5000
La 0.0000 0.5000 0.8337
La 0.5000 0.0000 0.1663
La 0.5000 0.0000 0.5000
La 0.5000 0.0000 0.8337
Pr 0.5000 0.5000 0.3333
Pr 0.5000 0.5000 0.6667
Nd 0.5000 0.5000 0.0000

Values from the calculation:
total magnetization: 0.000 Bohr magnetons per cell
space group: P4/mmm, No. 123
energy of formation from the pure elements: 1 meV per atom

***

(6)
# LaPr8Nd4

A geometry-optimized LaPr8Nd4 structure (PBE-GGA, Alexandria via LeMat-Bulk).

Cell: 7.9896 7.9896 7.9896 Å, 97.37 97.37 97.37°
Positions (direct):
La 0.0000 0.0000 0.0000
Pr 0.1698 0.6655 0.6655
Pr 0.2589 0.2589 0.2589
Pr 0.3345 0.3345 0.8302
Pr 0.3345 0.8302 0.3345
Pr 0.6655 0.1698 0.6655
Pr 0.6655 0.6655 0.1698
Pr 0.7411 0.7411 0.7411
Pr 0.8302 0.3345 0.3345
Nd 0.0000 0.0000 0.5000
Nd 0.0000 0.5000 0.0000
Nd 0.5000 0.0000 0.0000
Nd 0.5000 0.5000 0.5000

Values from the calculation:
total magnetization: 0.000 Bohr magnetons per cell
space group: R-3m, No. 166
energy of formation from the pure elements: 377 meV per atom